No. 1
# Tm2Cd8Ag

Tm2Cd8Ag after structural relaxation (PBE-GGA, Alexandria via LeMat-Bulk).

Structure (POSCAR):
```
Tm2Cd8Ag
1.0
-2.2880 -3.6305 -1.9105
4.3296 -0.0865 -5.0556
4.5219 -3.2942 6.5252
Tm Cd Ag
2 8 1
Direct
0.2203 0.6654 0.4387
0.7797 0.3346 0.5613
0.6562 0.8842 0.3085
0.4029 0.5746 0.8071
0.1504 0.1649 0.2980
0.9709 0.2690 0.9442
0.8496 0.8351 0.7020
0.5971 0.4254 0.1929
0.3438 0.1158 0.6915
0.0291 0.7310 0.0558
0.5000 0.0000 0.0000
```

Summary:
Theoretical density: 8.9 g/cm³
Space group: P-1 (2)

=====

No. 2
# CdCu2Pd5Au

CdCu2Pd5Au after structural relaxation (PBE-GGA, Alexandria via LeMat-Bulk).

Structure (POSCAR):
```
CdCu2Pd5Au
1.0
-0.9431 0.3647 -6.0814
6.0511 -0.6589 -0.9779
-3.4501 -7.5993 3.2042
Cd Cu Pd Au
2 4 10 2
Direct
0.2500 0.2500 0.5000
0.7500 0.7500 0.5000
0.1245 0.3755 0.0000
0.6245 0.1245 0.0000
0.3755 0.8755 0.0000
0.8755 0.6245 0.0000
0.9198 0.4198 0.2489
0.6708 0.1708 0.7511
0.0802 0.5802 0.7511
0.1708 0.0802 0.7511
0.5802 0.6708 0.7511
0.8292 0.9198 0.2489
0.4198 0.3292 0.2489
0.3292 0.8292 0.2489
0.5000 0.5000 0.0000
0.0000 0.0000 0.0000
0.2500 0.7500 0.5000
0.7500 0.2500 0.5000
```

Summary:
Theoretical density: 10.8 g/cm³
Space group: I4/mcm (140)

=====

No. 3
# MnCrCo2

MnCrCo2 after structural relaxation (PBE-GGA, Alexandria via LeMat-Bulk).

Structure (POSCAR):
```
MnCrCo2
1.0
-7.0176 -3.5139 2.4361
-5.4488 -5.3081 3.1088
-5.8753 -3.4014 4.6304
Co Cr Mn
2 1 1
Direct
0.0010 0.0010 0.0010
0.4990 0.4990 0.4990
0.2500 0.2500 0.2500
0.7500 0.7500 0.7500
```

Summary:
Theoretical density: 8.7 g/cm³
Space group: R-3m (166)

=====

| no. | energy of formation from the pure elements (eV/atom) |
| --- | --- |
| 1 | -0.14 |
| 2 | 0.04 |
| 3 | 0.13 |